PBEsol Ba2In3, optimized geometry; symmetry = R-3m, No. 166; crystal system = trigonal; ΔH_f (0 K) = -0.33 eV per atom; final energy = -2.978 eV per atom
1.0
-4.5580 0.0230 -2.0131
-0.5841 -0.9562 -4.8552
-2.5371 -8.7787 -0.5227
Ba In
2 3
direct
0.5866 0.5866 0.2402 Ba
0.4134 0.4134 0.7598 Ba
0.0000 0.0000 0.0000 In
0.1555 0.1555 0.5336 In
0.8445 0.8445 0.4664 In

***

PBEsol Ba2In, optimized geometry; symmetry = Pnma, No. 62; crystal system = orthorhombic; ΔH_f (0 K) = -0.32 eV per atom; final energy = -2.750 eV per atom
1.0
5.8450 0.0000 0.0000
0.0000 7.8658 0.0000
0.0000 0.0000 10.8179
Ba In
8 4
direct
0.7500 0.9777 0.6965 Ba
0.2500 0.0223 0.3035 Ba
0.7500 0.4777 0.8035 Ba
0.2500 0.5223 0.1965 Ba
0.2500 0.6830 0.5733 Ba
0.7500 0.3170 0.4267 Ba
0.2500 0.1830 0.9267 Ba
0.7500 0.8170 0.0733 Ba
0.7500 0.7727 0.3948 In
0.2500 0.2273 0.6052 In
0.7500 0.2727 0.1052 In
0.2500 0.7273 0.8948 In

***

PBEsol Ba2In, optimized geometry; symmetry = P4/mmm, No. 123; crystal system = tetragonal; ΔH_f (0 K) = -0.24 eV per atom; final energy = -2.663 eV per atom
1.0
-1.6278 3.6402 -0.1355
-5.3541 -2.4286 -0.9246
-0.9261 -0.1953 5.8757
Ba In
2 1
direct
0.5000 0.0000 0.5000 Ba
0.5000 0.5000 0.0000 Ba
0.0000 0.0000 0.0000 In

***

PBEsol Ba2In, optimized geometry; symmetry = I4_1/amd, No. 141; crystal system = tetragonal; ΔH_f (0 K) = -0.27 eV per atom; final energy = -2.697 eV per atom
1.0
-0.9207 2.1509 3.4818
-4.0524 -0.9785 -0.4672
4.6358 -13.5956 7.0977
Ba In
4 2
direct
0.8123 0.3123 0.6246 Ba
0.4377 0.4377 0.8754 Ba
0.6877 0.1877 0.3754 Ba
0.5623 0.5623 0.1246 Ba
0.2500 0.7500 0.5000 In
0.0000 0.0000 0.0000 In

***

PBEsol Ba2In, optimized geometry; symmetry = I4/mcm, No. 140; crystal system = tetragonal; ΔH_f (0 K) = -0.27 eV per atom; final energy = -2.696 eV per atom
1.0
7.0974 -0.0035 0.0000
-2.7911 6.5255 0.0000
-2.1531 -3.2610 5.9247
Ba In
4 2
direct
0.3088 0.8088 0.1176 Ba
0.6912 0.1912 0.8824 Ba
0.8088 0.6912 0.5000 Ba
0.1912 0.3088 0.5000 Ba
0.2500 0.2500 0.0000 In
0.7500 0.7500 0.0000 In

***

PBEsol Ba2In, optimized geometry; symmetry = P6/mmm, No. 191; crystal system = hexagonal; ΔH_f (0 K) = -0.21 eV per atom; final energy = -2.640 eV per atom
1.0
3.6102 0.0000 0.0000
0.0000 5.8781 0.0000
0.0000 -2.9390 5.0906
Ba In
2 1
direct
0.0000 0.3333 0.6667 Ba
0.0000 0.6667 0.3333 Ba
0.5000 0.0000 0.0000 In

***

PBEsol Ba2In, optimized geometry; symmetry = C2/m, No. 12; crystal system = monoclinic; ΔH_f (0 K) = -0.25 eV per atom; final energy = -2.680 eV per atom
1.0
-3.2792 3.6147 -0.0578
-2.5680 -2.4249 -5.9618
-3.2600 -6.1586 5.8713
Ba In
4 2
direct
0.9114 0.7080 0.8228 Ba
0.6543 0.8232 0.3087 Ba
0.3457 0.1768 0.6913 Ba
0.0886 0.2920 0.1772 Ba
0.2649 0.6359 0.5299 In
0.7351 0.3641 0.4701 In

***

PBEsol BaIn3, optimized geometry; symmetry = Pmmm, No. 47; crystal system = orthorhombic; ΔH_f (0 K) = -0.31 eV per atom; final energy = -3.081 eV per atom
1.0
3.7581 0.0000 0.0000
0.0000 4.0448 0.0000
0.0000 0.0000 7.7612
Ba In
1 3
direct
0.0000 0.0000 0.0000 Ba
0.5000 0.5000 0.6981 In
0.0000 0.0000 0.5000 In
0.5000 0.5000 0.3019 In